Record 1
VASP calculation (PBE) on a geometry-optimized Sm4Au3 structure.

```
Sm4Au3
1.0
6.270 3.620 2.758
-6.270 3.620 2.758
0.000 -7.240 2.758
Sm Au
8 6
direct
0.000 0.000 0.000
0.140 0.667 0.278
0.278 0.140 0.667
0.333 0.722 0.860
0.500 0.500 0.500
0.667 0.278 0.140
0.722 0.860 0.333
0.860 0.333 0.722
0.050 0.304 0.421
0.304 0.421 0.050
0.421 0.050 0.304
0.579 0.950 0.696
0.696 0.579 0.950
0.950 0.696 0.579
```

Results
D(E_F): 16.765 states/eV per cell
Energy of formation: -4.61 eV per formula unit
SG: R-3 (148)
Total moment: 0.00 μB per formula unit

***

Record 2
VASP calculation (PBE) on a geometry-optimized Tm2CuSe structure.

```
Tm2CuSe
1.0
1.828 1.056 9.175
-1.828 1.056 9.175
0.000 -2.111 9.175
Tm Cu Se
2 1 1
direct
0.100 0.100 0.100
0.900 0.900 0.900
0.000 0.000 0.000
0.500 0.500 0.500
```

Results
D(E_F): 3.176 states/eV per cell
SG: R-3m (166)
ΔE_f (raw): -1.0 eV/f.u.
Total moment: 0.00 μB per formula unit

***

Repeat the first record exactly.
VASP calculation (PBE) on a geometry-optimized Sm4Au3 structure.

```
Sm4Au3
1.0
6.270 3.620 2.758
-6.270 3.620 2.758
0.000 -7.240 2.758
Sm Au
8 6
direct
0.000 0.000 0.000
0.140 0.667 0.278
0.278 0.140 0.667
0.333 0.722 0.860
0.500 0.500 0.500
0.667 0.278 0.140
0.722 0.860 0.333
0.860 0.333 0.722
0.050 0.304 0.421
0.304 0.421 0.050
0.421 0.050 0.304
0.579 0.950 0.696
0.696 0.579 0.950
0.950 0.696 0.579
```

Results
D(E_F): 16.765 states/eV per cell
Energy of formation: -4.61 eV per formula unit
SG: R-3 (148)
Total moment: 0.00 μB per formula unit